(1)
A geometry-optimized AcInPd3Au structure. Source: Alexandria via LeMat-Bulk, functional PBE-GGA.

Output
* energy relative to the elements: -2.937 eV per formula unit
* VASP energy: -4.7733 eV per atom

Cell and atoms, written as CIF:
```
data_AcInPd3Au
_space_group_name_H-M_alt 'C m c m'
_space_group_IT_number 63
_space_group_name_Hall '-C 2c 2'
_cell_length_a 5.945
_cell_length_b 12.355
_cell_length_c 7.501
_cell_angle_alpha 90.00
_cell_angle_beta 90.00
_cell_angle_gamma 90.00
loop_
_atom_site_label
_atom_site_type_symbol
_atom_site_fract_x
_atom_site_fract_y
_atom_site_fract_z
Ac1 Ac 0.000 0.166 0.250
In1 In 0.000 0.132 0.750
Pd1 Pd 0.000 0.355 0.750
Pd2 Pd 0.237 0.000 0.000
Au1 Au 0.000 0.408 0.250
```

(2)
A geometry-optimized Ac3InPd6Au2 structure. Source: Alexandria via LeMat-Bulk, functional PBE-GGA.

Output
* energy relative to the elements: -8.432 eV per formula unit
* VASP energy: -5.1006 eV per atom

Cell and atoms, written as CIF:
```
data_Ac3InPd6Au2
_space_group_name_H-M_alt 'P -3 m 1'
_space_group_IT_number 164
_space_group_name_Hall '-P 3 2"'
_cell_length_a 5.9215
_cell_length_b 5.9215
_cell_length_c 9.1178
_cell_angle_alpha 90.00
_cell_angle_beta 90.00
_cell_angle_gamma 120.00
loop_
_atom_site_label
_atom_site_type_symbol
_atom_site_fract_x
_atom_site_fract_y
_atom_site_fract_z
Ac1 Ac 0.0000 0.0000 0.0000
Ac2 Ac 0.3333 0.6667 0.6399
In1 In 0.0000 0.0000 0.5000
Pd1 Pd 0.1762 0.3523 0.2783
Au1 Au 0.3333 0.6667 0.0169
```

The records above give, respectively, ρ values of 10.34 10.96 Mg/m³.
The records above give, respectively, volume values of 551.0 276.9 Å³ per cell.